{"formula": "CuTc2SbOs", "functional": "GGA-PBE", "state": "optimized geometry", "spacegroup": "P4/mmm, No. 123", "dft_energy_ry_per_atom": -0.45675, "cell": [[4.4964, 0.0000, 0.0000], [0.0000, 4.5438, 0.0000], [0.0000, 0.0000, 4.4964]], "species": ["Sb", "Os", "Tc", "Tc", "Cu"], "fractional_positions": [[0.0000, 0.5000, 0.0000], [0.5000, 0.5000, 0.5000], [0.0000, 0.0000, 0.5000], [0.5000, 0.0000, 0.0000], [0.0000, 0.0000, 0.0000]]}

***

{"formula": "CuSb2TeOs", "functional": "GGA-PBE", "state": "optimized geometry", "spacegroup": "P4/mmm, No. 123", "dft_energy_ry_per_atom": -0.32617, "cell": [[4.9984, 0.0000, 0.0000], [0.0000, 4.9984, 0.0000], [0.0000, 0.0000, 5.7072]], "species": ["Sb", "Sb", "Te", "Os", "Cu"], "fractional_positions": [[0.0000, 0.5000, 0.0000], [0.5000, 0.0000, 0.0000], [0.0000, 0.0000, 0.5000], [0.0000, 0.0000, 0.0000], [0.5000, 0.5000, 0.5000]]}

***

{"formula": "Sc4CuOs", "functional": "GGA-PBE", "state": "optimized geometry", "spacegroup": "P4/mmm, No. 123", "dft_energy_ry_per_atom": -0.50695, "cell": [[-2.0586, -0.7605, 3.9630], [-1.1569, -4.1514, -1.3978], [5.4438, -2.3201, 2.3839]], "species": ["Sc", "Sc", "Sc", "Sc", "Cu", "Os"], "fractional_positions": [[0.5012, 0.9971, 0.2414], [0.5013, 0.9975, 0.7548], [0.0014, 0.4975, 0.7548], [0.0012, 0.4971, 0.2414], [0.0014, 0.9971, 0.4984], [0.5013, 0.4973, 0.9981]]}

***

{"formula": "ScCuOs3", "functional": "GGA-PBE", "state": "optimized geometry", "spacegroup": "Pm-3m, No. 221", "dft_energy_ry_per_atom": -0.46667, "cell": [[-0.5826, -4.1311, -1.9836], [4.0037, 0.5140, -2.2464], [2.2296, -2.0024, 3.5156]], "species": ["Sc", "Os", "Os", "Os", "Cu"], "fractional_positions": [[0.0000, 0.0000, 0.0000], [0.0000, 0.5000, 0.0000], [0.0000, 0.0000, 0.5000], [0.5000, 0.0000, 0.0000], [0.5000, 0.5000, 0.5000]]}